{
  "formula": "KCa2Ir",
  "functional": "GGA-PBEsol",
  "state": "relaxed",
  "crystal_system": "orthorhombic",
  "polymorph_energy_mev_per_atom": 0,
  "formation_enthalpy_0k_ev_per_atom": 0.085,
  "n_ef_per_ev_cell": 4.33,
  "volume_a3_per_atom": 34.3,
  "cell": [[3.402, 0.000, 0.000], [0.000, 4.690, 0.000], [0.000, 0.000, 17.174]],
  "species": ["K", "K", "Ca", "Ca", "Ca", "Ca", "Ir", "Ir"],
  "frac_coords": [[0.000, 0.000, 0.000], [0.500, 0.500, 0.500], [0.000, 0.000, 0.695], [0.000, 0.500, 0.839], [0.500, 0.000, 0.339], [0.500, 0.500, 0.195], [0.000, 0.500, 0.324], [0.500, 0.000, 0.824]]
}

***

{
  "formula": "CoRhN2O",
  "functional": "GGA-PBEsol",
  "state": "relaxed",
  "raw_formation_energy_kj_per_mol_atoms": 87.9,
  "crystal_system": "tetragonal",
  "n_ef_per_ev_cell": 4.16,
  "volume_a3_per_atom": 9.4,
  "cell": [[3.536, 0.000, 0.000], [0.000, 3.536, 0.000], [0.000, 0.000, 3.746]],
  "species": ["Co", "Rh", "N", "N", "O"],
  "frac_coords": [[0.000, 0.000, 0.000], [0.500, 0.500, 0.500], [0.000, 0.500, 0.000], [0.500, 0.000, 0.000], [0.000, 0.000, 0.500]]
}